Entry 1:
{"formula": "La2TmPb", "functional": "PBE", "state": "relaxed", "lattice": [[3.622, 0.000, 0.000], [-1.811, 3.137, 0.000], [0.000, 0.000, 37.217]], "species": ["La", "La", "La", "La", "La", "La", "Tm", "Tm", "Tm", "Pb", "Pb", "Pb"], "fractional_positions": [[0.000, 0.000, 0.089], [0.000, 0.000, 0.911], [0.333, 0.667, 0.577], [0.333, 0.667, 0.756], [0.667, 0.333, 0.244], [0.667, 0.333, 0.423], [0.000, 0.000, 0.500], [0.333, 0.667, 0.167], [0.667, 0.333, 0.833], [0.000, 0.000, 0.000], [0.333, 0.667, 0.667], [0.667, 0.333, 0.333]], "crystal_system": "trigonal", "relative_energy_mev_per_atom": 380, "final_energy_ev_per_atom": -4.46, "m_tot_mub_per_atom": 0.0000, "ef_ev_per_atom": 0.052, "dos_ef_per_ev_atom": 1.07, "density_g_cm3": 7.7}

Entry 2:
{"formula": "PmSm2Zn2Ga2", "functional": "PBE", "state": "relaxed", "lattice": [[2.245, 1.296, 9.454], [-2.245, 1.296, 9.454], [0.000, -2.592, 9.454]], "species": ["Pm", "Sm", "Sm", "Zn", "Zn", "Ga", "Ga"], "fractional_positions": [[0.000, 0.000, 0.000], [0.127, 0.127, 0.127], [0.873, 0.873, 0.873], [0.400, 0.400, 0.400], [0.600, 0.600, 0.600], [0.263, 0.263, 0.263], [0.737, 0.737, 0.737]], "crystal_system": "trigonal", "final_energy_ev_per_atom": -3.66, "m_tot_mub_per_atom": 0.0000, "ef_ev_per_atom": -0.406, "dos_ef_per_ev_atom": 0.45, "density_g_cm3": 7.2}

Entry 3:
{"formula": "SmAlZnPt", "functional": "PBE", "state": "relaxed", "lattice": [[6.725, 0.000, 0.000], [0.000, 6.725, 0.000], [0.000, 0.000, 6.725]], "species": ["Sm", "Sm", "Sm", "Sm", "Al", "Al", "Al", "Al", "Zn", "Zn", "Zn", "Zn", "Pt", "Pt", "Pt", "Pt"], "fractional_positions": [[0.000, 0.000, 0.000], [0.000, 0.500, 0.500], [0.500, 0.000, 0.500], [0.500, 0.500, 0.000], [0.000, 0.000, 0.500], [0.000, 0.500, 0.000], [0.500, 0.000, 0.000], [0.500, 0.500, 0.500], [0.250, 0.250, 0.750], [0.250, 0.750, 0.250], [0.750, 0.250, 0.250], [0.750, 0.750, 0.750], [0.250, 0.250, 0.250], [0.250, 0.750, 0.750], [0.750, 0.250, 0.750], [0.750, 0.750, 0.250]], "crystal_system": "cubic", "relative_energy_mev_per_atom": 0, "final_energy_ev_per_atom": -4.62, "m_tot_mub_per_atom": 0.0000, "ef_ev_per_atom": -0.674, "dos_ef_per_ev_atom": 0.48, "density_g_cm3": 9.6}

Entry 4:
{"formula": "MgCd2IO6", "functional": "PBE", "state": "relaxed", "lattice": [[5.514, 0.000, 0.000], [0.000, 5.634, 0.000], [-5.467, 0.000, 8.013]], "species": ["Mg", "Mg", "Cd", "Cd", "Cd", "Cd", "I", "I", "O", "O", "O", "O", "O", "O", "O", "O", "O", "O", "O", "O"], "fractional_positions": [[0.000, 0.000, 0.000], [0.000, 0.500, 0.500], [0.232, 0.045, 0.746], [0.232, 0.455, 0.246], [0.768, 0.545, 0.754], [0.768, 0.955, 0.254], [0.500, 0.000, 0.500], [0.500, 0.500, 0.000], [0.152, 0.198, 0.445], [0.152, 0.302, 0.945], [0.243, 0.710, 0.435], [0.243, 0.790, 0.935], [0.372, 0.051, 0.260], [0.372, 0.449, 0.760], [0.628, 0.551, 0.240], [0.628, 0.949, 0.740], [0.757, 0.210, 0.065], [0.757, 0.290, 0.565], [0.848, 0.698, 0.055], [0.848, 0.802, 0.555]], "crystal_system": "monoclinic", "final_energy_ev_per_atom": -4.53, "m_tot_mub_per_atom": 0.0584, "raw_formation_energy_ev_per_atom": -1.058, "dos_ef_per_ev_atom": 0.35, "density_g_cm3": 6.3}

Entry 5:
{"formula": "Ti2InPd3", "functional": "PBE", "state": "relaxed", "lattice": [[4.527, 0.000, 0.000], [0.000, 13.671, 0.000], [0.000, 0.000, 3.248]], "species": ["Ti", "Ti", "Ti", "Ti", "In", "In", "Pd", "Pd", "Pd", "Pd", "Pd", "Pd"], "fractional_positions": [[0.000, 0.163, 0.000], [0.000, 0.837, 0.000], [0.500, 0.337, 0.000], [0.500, 0.663, 0.000], [0.000, 0.500, 0.000], [0.500, 0.000, 0.000], [0.000, 0.000, 0.500], [0.000, 0.315, 0.500], [0.000, 0.685, 0.500], [0.500, 0.185, 0.500], [0.500, 0.500, 0.500], [0.500, 0.815, 0.500]], "crystal_system": "orthorhombic", "relative_energy_mev_per_atom": 41, "final_energy_ev_per_atom": -6.18, "m_tot_mub_per_atom": 0.0000, "ef_ev_per_atom": -0.497, "dos_ef_per_ev_atom": 0.83, "density_g_cm3": 8.8}

Entry 6:
{"formula": "Ca2MnNi", "functional": "PBE", "state": "relaxed", "lattice": [[10.233, 0.000, 0.000], [0.000, 10.233, 0.000], [0.000, 0.000, 4.608]], "species": ["Ca", "Ca", "Ca", "Ca", "Ca", "Ca", "Ca", "Ca", "Mn", "Mn", "Mn", "Mn", "Ni", "Ni", "Ni", "Ni"], "fractional_positions": [[0.087, 0.250, 0.125], [0.250, 0.587, 0.375], [0.250, 0.913, 0.875], [0.413, 0.250, 0.625], [0.587, 0.750, 0.625], [0.750, 0.087, 0.875], [0.750, 0.413, 0.375], [0.913, 0.750, 0.125], [0.000, 0.000, 0.500], [0.000, 0.500, 0.750], [0.500, 0.000, 0.250], [0.500, 0.500, 0.000], [0.000, 0.000, 0.000], [0.000, 0.500, 0.250], [0.500, 0.000, 0.750], [0.500, 0.500, 0.500]], "crystal_system": "tetragonal", "final_energy_ev_per_atom": -4.41, "m_tot_mub_per_atom": 1.0504, "ef_ev_per_atom": 0.332, "dos_ef_per_ev_atom": 0.80, "density_g_cm3": 2.7}